{"formula": "ScSn2Rh2", "functional": "GGA-PBE", "state": "optimized geometry", "lattice_angstrom": [[-7.155, -1.031, 3.040], [3.210, -2.422, 6.733], [0.021, 2.870, 1.022]], "species": ["Sc", "Sc", "Rh", "Rh", "Rh", "Rh", "Sn", "Sn", "Sn", "Sn"], "frac_coords": [[0.000, 0.000, 0.000], [0.500, 0.500, 0.000], [0.151, 0.651, 0.500], [0.651, 0.849, 0.500], [0.849, 0.349, 0.500], [0.349, 0.151, 0.500], [0.354, 0.854, 0.000], [0.854, 0.646, 0.000], [0.646, 0.146, 0.000], [0.146, 0.354, 0.000]], "total_magnetization_mub_per_fu": 0.53, "formation_energy_mev_per_atom": -454, "dft_energy_ev_per_atom": -6.262, "space_group": "P4/mbm, No. 127", "dos_ef_per_ev_cell": 8.5}